(1)
Entry from Alexandria via LeMat-Bulk: a relaxed FeReRu2 crystal (GGA-PBE).

extended XYZ file:
```
4
Lattice="-4.2821 1.7277 -0.4964 -3.5536 0.7312 -2.8991 -2.4762 -3.8298 0.8376" Properties=species:S:1:pos:R:3 pbc="T T T"
Ru -7.7049 -1.0104 -1.9170
Re -2.5766 -0.3478 -0.6369
Ru -0.0175 0.0016 -0.0060
Fe -5.1689 -0.6997 -1.2770
```

ΔE_f: 0.116 eV per atom
SG: No. 8
Fermi-level density of states: 1.159 states/eV/atom
spin magnetization: 1.90 Bohr magnetons per cell

---

(2)
Entry from Alexandria via LeMat-Bulk: a relaxed Np2Nb2S5 crystal (GGA-PBE).

extended XYZ file:
```
9
Lattice="4.6111 0.0000 0.0000 -2.3056 6.2340 -1.8343 0.0000 -2.4698 7.2057" Properties=species:S:1:pos:R:3 pbc="T T T"
Np 0.0000 3.0395 3.9053
Nb 2.3056 4.5419 0.2805
S 2.3056 -0.4333 6.0195
S 0.0000 0.5481 3.0311
S 0.0000 4.1976 -0.6481
S 2.3056 3.2162 2.3403
S 0.0000 0.0000 0.0000
Np 2.3056 0.7248 1.4661
Nb 0.0000 -0.7777 5.0908
```

SG: No. 12
Fermi-level density of states: 1.773 states/eV/atom
ΔE_f (raw): -0.99 eV/atom
spin magnetization: 7.65 Bohr magnetons per cell

---

(3)
Entry from Alexandria via LeMat-Bulk: a relaxed Bi2PtRh2 crystal (GGA-PBE).

extended XYZ file:
```
10
Lattice="-1.4619 6.4995 2.8722 -3.6235 -3.2043 5.4067 3.1515 -0.1779 2.0067" Properties=species:S:1:pos:R:3 pbc="T T T"
Rh -1.4234 3.6984 2.5634
Bi 0.4801 1.5239 2.8670
Rh -3.5680 3.5760 5.9206
Bi -0.8401 4.2525 5.1823
Pt 0.0000 0.0000 0.0000
Bi -2.4141 1.5934 7.4186
Rh -1.5174 -0.2808 2.3582
Bi -1.0939 -1.1352 5.1032
Rh -3.6620 -0.4032 5.7155
Pt -2.5427 1.6476 4.1394
```

ΔE_f: 0.015 eV per atom
SG: No. 127
Fermi-level density of states: 0.880 states/eV/atom
spin magnetization: 0.00 Bohr magnetons per cell

---

(4)
Entry from Alexandria via LeMat-Bulk: a relaxed Sr2SmMoN4 crystal (GGA-PBE).

extended XYZ file:
```
16
Lattice="-3.7782 3.8665 -1.3842 0.2231 -2.1890 -6.7235 -5.6861 -5.0366 1.4512" Properties=species:S:1:pos:R:3 pbc="T T T"
N -5.4918 -3.4852 -4.3689
Sr -4.9302 1.0184 -5.4032
Sm -1.6098 -0.0156 -6.3618
N -4.6337 1.9071 -2.8969
N -1.2393 0.9816 -1.4490
Sr -7.7520 -1.4810 -4.6831
N -3.1999 1.5175 -7.2712
N -3.1076 -1.3734 -4.9773
Sm -6.4973 0.9237 -1.6464
N -5.8135 -1.1524 -6.1730
N -7.9356 -1.0176 -2.0542
N -4.3306 -1.1994 -0.5258
Mo 0.0264 -0.3320 -1.0491
Sr -5.9553 -2.7354 -1.8425
Mo -4.5521 -2.4250 -5.6471
Sr -3.0909 -0.1982 -2.5736
```

SG: No. 31
Fermi-level density of states: 0.279 states/eV/atom
ΔE_f (raw): -0.90 eV/atom
spin magnetization: 1.99 Bohr magnetons per cell